Entry from Alexandria via LeMat-Bulk: an optimized crystal structure of YCrF2 (PBE with a Hubbard U).

For the total energy, the calculation gives -6.38 eV/atom. The symmetry is No. 122. As for the distance to the lowest polymorph of the same formula: 0 meV per atom.

a b c (Å): 5.3414 5.3414 13.2027
angles (deg): 90.00 90.00 90.00
Fractional positions:
Y (0.0000, 0.0000, 0.0000)
Y (0.0000, 0.5000, 0.2500)
Y (0.5000, 0.0000, 0.7500)
Y (0.5000, 0.5000, 0.5000)
Cr (0.0000, 0.0000, 0.5000)
Cr (0.0000, 0.5000, 0.7500)
Cr (0.5000, 0.0000, 0.2500)
Cr (0.5000, 0.5000, 0.0000)
F (0.0715, 0.2500, 0.1250)
F (0.2500, 0.5715, 0.3750)
F (0.2500, 0.9285, 0.8750)
F (0.4285, 0.2500, 0.6250)
F (0.5715, 0.7500, 0.6250)
F (0.7500, 0.0715, 0.8750)
F (0.7500, 0.4285, 0.3750)
F (0.9285, 0.7500, 0.1250)